Computed, not measured: a crystal of ScSb2Pb relaxed with PBEsol at the meta-GGA SCAN level of DFT.

Calculated values
**Magnetic moment**: 0.0 μB per cell
**VASP energy**: -41.15 eV per atom
**Crystal system**: cubic

```
data_ScSb2Pb
_symmetry_space_group_name_H-M 'F -4 3 m'
_symmetry_Int_Tables_number 216
_symmetry_space_group_name_Hall 'F -4 2 3'
_cell_length_a 7.439
_cell_length_b 7.439
_cell_length_c 7.439
_cell_angle_alpha 90.00
_cell_angle_beta 90.00
_cell_angle_gamma 90.00
loop_
_atom_site_label
_atom_site_type_symbol
_atom_site_fract_x
_atom_site_fract_y
_atom_site_fract_z
Sc1 Sc 0.000 0.000 0.000
Sb1 Sb 0.000 0.000 0.500
Sb2 Sb 0.250 0.250 0.750
Pb1 Pb 0.250 0.250 0.250
```